(1)
A geometry-optimized HfFe2Sn structure. Source: OQMD via LeMat-Bulk, functional PBE.

Output
Calculated volume, Å³/atom: 14.94
Calculated total energy, eV/atom: -7.82

a b c (Å): 4.322 4.322 3.199
angles (deg): 90.00 90.00 90.00
Space group P4/mmm (No. 123)
Asymmetric unit:
Hf  0.000  0.000  0.000
Fe  0.000  0.500  0.500
Sn  0.500  0.500  0.000

=====

(2)
A geometry-optimized LaNdPO structure. Source: OQMD via LeMat-Bulk, functional PBE.

Output
Relative energy among the computed polymorphs, eV/atom: 0.158
Calculated volume, Å³/atom: 22.19
Calculated total energy, eV/atom: -6.84

a b c (Å): 4.341 4.341 9.418
angles (deg): 90.00 90.00 90.00
Space group P4/nmm (No. 129, origin choice 2)
Asymmetric unit:
La  0.250  0.750  0.000
Nd  0.250  0.250  0.393
P  0.250  0.250  0.792
O  0.250  0.750  0.500

=====

(3)
A geometry-optimized BaTbO3 structure. Source: OQMD via LeMat-Bulk, functional PBE.

Output
Calculated volume, Å³/atom: 16.89
Calculated total energy, eV/atom: -6.98

a b c (Å): 6.2433 6.2433 15.0079
angles (deg): 90.00 90.00 120.00
Space group R-3c (No. 167, hexagonal axes)
Asymmetric unit:
Ba  0.0000  0.0000  0.2500
Tb  0.0000  0.0000  0.0000
O  0.0000  0.4308  0.2500

=====

(4)
A geometry-optimized NaGaReTc structure. Source: OQMD via LeMat-Bulk, functional PBE.

Output
Relative energy among the computed polymorphs, eV/atom: 0.011
Calculated volume, Å³/atom: 15.10
Calculated total energy, eV/atom: -6.37

a b c (Å): 6.228 6.228 6.228
angles (deg): 90.00 90.00 90.00
Space group F-43m (No. 216)
Asymmetric unit:
Na  0.000  0.000  0.000
Ga  0.250  0.250  0.750
Re  0.250  0.250  0.250
Tc  0.000  0.000  0.500